Compound: AgAsO4
Source: OQMD via LeMat-Bulk
Functional: PBE-GGA
Structure: optimized geometry

Output
Its calculated total energy is -59.8 eV per cell.

Lattice parameters (Å, degrees): 6.745 6.745 6.745 137.56 137.56 61.58
Element x y z (fractional)
Ag  0.375  0.125  0.250
Ag  0.625  0.875  0.750
As  0.125  0.375  0.750
As  0.875  0.625  0.250
O  0.030  0.199  0.326
O  0.205  0.530  0.331
O  0.301  0.127  0.831
O  0.373  0.705  0.174
O  0.627  0.295  0.826
O  0.699  0.873  0.169
O  0.795  0.470  0.669
O  0.970  0.801  0.674